1.
## Sr2YThO6 (PBE)

Data for Sr2YThO6 after structural relaxation.

Lattice parameters (Å, degrees): 6.080 6.244 8.708 90.00 89.67 90.00
Sites, in units of the cell vectors:
O: 0.298 0.704 0.439
O: 0.387 0.950 0.751
O: 0.798 0.796 0.939
O: 0.113 0.450 0.749
O: 0.701 0.296 0.939
O: 0.702 0.296 0.561
O: 0.299 0.704 0.061
O: 0.887 0.550 0.251
O: 0.613 0.050 0.249
O: 0.202 0.204 0.061
O: 0.201 0.204 0.439
O: 0.799 0.796 0.561
Sr: 0.516 0.547 0.750
Sr: 0.016 0.953 0.250
Sr: 0.984 0.047 0.750
Sr: 0.484 0.453 0.250
Th: 0.500 0.000 0.500
Th: 0.000 0.500 0.000
Y: 0.000 0.500 0.500
Y: 0.500 0.000 0.000

Values from the calculation:
Its space group is P2_1/c (14). The calculation puts the calculated density at 5.95 Mg/m³. For the density of states at the Fermi level, the calculation gives 14.9 states/eV/cell. The total magnetization comes out at 2.045 μB/cell. The value obtained for the uncorrected formation energy is -3.07 eV per atom. The uncorrected energy comes out at -7.77 eV/atom.

2.
## Sr2Ti2O5 (PBE)

Data for Sr2Ti2O5 after structural relaxation.

Lattice parameters (Å, degrees): 8.804 8.804 8.804 142.74 142.76 53.70
Sites, in units of the cell vectors:
O: 0.567 0.621 0.946
O: 0.897 0.879 0.018
O: 0.732 0.250 0.982
O: 0.324 0.379 0.946
O: 0.974 0.992 0.482
O: 0.140 0.121 0.018
O: 0.732 0.750 0.482
O: 0.490 0.008 0.982
O: 0.974 0.492 0.982
O: 0.490 0.508 0.482
Sr: 0.348 0.868 0.480
Sr: 0.116 0.632 0.484
Sr: 0.612 0.132 0.480
Sr: 0.852 0.368 0.484
Ti: 0.732 0.750 0.982
Ti: 0.964 0.000 0.964
Ti: 0.500 0.500 0.000
Ti: 0.232 0.250 0.982

Values from the calculation:
Its space group is Imma (74). The calculation puts the calculated density at 4.69 Mg/m³. For the density of states at the Fermi level, the calculation gives 8.0 states/eV/cell. For the distance to the lowest polymorph of the same formula, the calculation gives 0.13 eV per formula unit. The total magnetization comes out at 0.955 μB/cell. The value obtained for the uncorrected formation energy is -2.88 eV per atom. The uncorrected energy comes out at -7.77 eV/atom.

3.
## Sr3Ti5O12 (PBE)

Data for Sr3Ti5O12 after structural relaxation.

Lattice parameters (Å, degrees): 11.223 11.223 11.223 109.47 109.47 109.47
Sites, in units of the cell vectors:
O: 0.103 0.183 0.490
O: 0.397 0.010 0.317
O: 0.397 0.387 0.580
O: 0.510 0.193 0.113
O: 0.683 0.490 0.603
O: 0.010 0.397 0.817
O: 0.817 0.897 0.010
O: 0.183 0.080 0.693
O: 0.920 0.103 0.613
O: 0.580 0.693 0.683
O: 0.103 0.920 0.113
O: 0.490 0.807 0.887
O: 0.807 0.490 0.387
O: 0.317 0.510 0.397
O: 0.580 0.887 0.397
O: 0.307 0.420 0.817
O: 0.887 0.307 0.490
O: 0.010 0.613 0.693
O: 0.693 0.580 0.183
O: 0.387 0.397 0.080
O: 0.193 0.510 0.613
O: 0.603 0.613 0.420
O: 0.113 0.420 0.103
O: 0.887 0.580 0.897
O: 0.420 0.113 0.603
O: 0.490 0.683 0.103
O: 0.420 0.307 0.317
O: 0.990 0.603 0.183
O: 0.307 0.887 0.990
O: 0.693 0.113 0.010
O: 0.613 0.603 0.920
O: 0.183 0.103 0.990
O: 0.510 0.317 0.897
O: 0.817 0.920 0.307
O: 0.990 0.387 0.307
O: 0.613 0.010 0.193
O: 0.807 0.317 0.920
O: 0.193 0.683 0.080
O: 0.897 0.080 0.887
O: 0.897 0.817 0.510
O: 0.113 0.693 0.510
O: 0.603 0.990 0.683
O: 0.920 0.817 0.807
O: 0.080 0.183 0.193
O: 0.387 0.990 0.807
O: 0.683 0.193 0.580
O: 0.317 0.807 0.420
O: 0.080 0.897 0.387
Ti: 0.875 0.625 0.750
Ti: 0.500 0.000 0.500
Ti: 0.750 0.625 0.375
Ti: 0.250 0.875 0.125
Ti: 0.125 0.750 0.375
Ti: 0.375 0.250 0.125
Ti: 0.500 0.000 0.000
Ti: 0.375 0.125 0.750
Ti: 0.000 0.000 0.000
Ti: 0.000 0.500 0.000
Ti: 0.500 0.500 0.500
Ti: 0.125 0.375 0.250
Ti: 0.000 0.500 0.500
Ti: 0.250 0.375 0.625
Ti: 0.625 0.750 0.875
Ti: 0.750 0.125 0.875
Ti: 0.000 0.000 0.500
Ti: 0.625 0.875 0.250
Ti: 0.875 0.250 0.625
Ti: 0.500 0.500 0.000
Sr: 0.125 0.250 0.875
Sr: 0.875 0.125 0.250
Sr: 0.625 0.375 0.750
Sr: 0.250 0.125 0.375
Sr: 0.750 0.875 0.625
Sr: 0.125 0.875 0.750
Sr: 0.375 0.625 0.250
Sr: 0.250 0.625 0.875
Sr: 0.375 0.750 0.625
Sr: 0.625 0.250 0.375
Sr: 0.750 0.375 0.125
Sr: 0.875 0.750 0.125

Values from the calculation:
Its space group is Ia-3d (230). The calculation puts the calculated density at 4.24 Mg/m³. For the density of states at the Fermi level, the calculation gives 40.5 states/eV/cell. The total magnetization comes out at 8.078 μB/cell. The value obtained for the uncorrected formation energy is -3.05 eV per atom. The uncorrected energy comes out at -8.25 eV/atom.

4.
## SrTi6O12 (PBE)

Data for SrTi6O12 after structural relaxation.

Lattice parameters (Å, degrees): 6.213 6.213 6.213 105.98 105.98 105.98
Sites, in units of the cell vectors:
O: 0.555 0.820 0.555
O: 0.445 0.180 0.445
O: 0.878 0.500 0.122
O: 0.445 0.445 0.180
O: 0.555 0.555 0.820
O: 0.180 0.445 0.445
O: 0.500 0.878 0.122
O: 0.122 0.878 0.500
O: 0.878 0.122 0.500
O: 0.820 0.555 0.555
O: 0.500 0.122 0.878
O: 0.122 0.500 0.878
Ti: 0.380 0.759 0.759
Ti: 0.241 0.241 0.620
Ti: 0.759 0.759 0.380
Ti: 0.241 0.620 0.241
Ti: 0.759 0.380 0.759
Ti: 0.620 0.241 0.241
Sr: 0.000 0.000 0.000

Values from the calculation:
Its space group is R-3m (166). The calculation puts the calculated density at 4.59 Mg/m³. For the density of states at the Fermi level, the calculation gives 4.4 states/eV/cell. For the distance to the lowest polymorph of the same formula, the calculation gives 5.67 eV per formula unit. The total magnetization comes out at 2.079 μB/cell. The value obtained for the uncorrected formation energy is -2.61 eV per atom. The uncorrected energy comes out at -8.33 eV/atom.